Entry 1:
Pu4IrRh | PBE | relaxed

Summary:
symmetry: C2/m (12)

```
Pu4IrRh
1.0
3.371 -3.370 0.000
3.371 3.370 0.000
-0.069 0.000 6.748
Pu Ir Rh
4 1 1
Direct
0.001 0.500 0.249
0.500 0.001 0.249
0.500 0.999 0.751
0.999 0.500 0.751
0.500 0.500 0.000
0.000 0.000 0.500
```

=====

Entry 2:
PuIrRh | PBE | relaxed

Summary:
symmetry: P2_13 (198)

```
PuIrRh
1.0
6.262 0.000 0.000
0.000 6.262 0.000
0.000 0.000 6.262
Pu Ir Rh
4 4 4
Direct
0.025 0.025 0.025
0.475 0.975 0.525
0.525 0.475 0.975
0.975 0.525 0.475
0.030 0.970 0.470
0.470 0.030 0.970
0.530 0.530 0.530
0.970 0.470 0.030
0.209 0.709 0.791
0.291 0.291 0.291
0.709 0.791 0.209
0.791 0.209 0.709
```

=====

Entry 3:
Pu6IrRh3 | PBE | relaxed

Summary:
symmetry: C2/m (12)

```
Pu6IrRh3
1.0
4.003 -3.777 0.000
4.003 3.777 0.000
-2.448 0.000 7.495
Pu Ir Rh
6 1 3
Direct
0.106 0.708 0.672
0.292 0.894 0.328
0.342 0.342 0.066
0.658 0.658 0.934
0.708 0.106 0.672
0.894 0.292 0.328
0.500 0.500 0.500
0.000 0.000 0.000
0.224 0.224 0.692
0.776 0.776 0.308
```

=====

Entry 4:
Pu8Ir2Rh | PBE | relaxed

Summary:
symmetry: C2/m (12)

```
Pu8Ir2Rh
1.0
7.234 -2.667 0.000
7.234 2.667 0.000
-2.333 0.000 5.901
Pu Ir Rh
8 2 1
Direct
0.005 0.005 0.239
0.148 0.148 0.655
0.340 0.340 0.631
0.369 0.369 0.054
0.631 0.631 0.946
0.660 0.660 0.369
0.852 0.852 0.345
0.995 0.995 0.761
0.195 0.195 0.179
0.805 0.805 0.821
0.500 0.500 0.500
```

=====

Entry 5:
Pu2Ir3Rh | PBE | relaxed

Summary:
symmetry: R-3m (166)

```
Pu2Ir3Rh
1.0
2.676 1.545 4.369
-2.676 1.545 4.369
0.000 -3.090 4.369
Pu Ir Rh
2 3 1
Direct
0.125 0.125 0.125
0.875 0.875 0.875
0.000 0.500 0.500
0.500 0.000 0.500
0.500 0.500 0.000
0.500 0.500 0.500
```

=====

Entry 6:
PuIr2Rh3 | PBE | relaxed

Summary:
symmetry: R-3m (166)

```
PuIr2Rh3
1.0
2.803 1.618 6.964
-2.803 1.618 6.964
0.000 -3.237 6.964
Pu Ir Rh
2 4 6
Direct
0.217 0.217 0.217
0.783 0.783 0.783
0.000 0.000 0.000
0.000 0.500 0.500
0.500 0.000 0.500
0.500 0.500 0.000
0.233 0.723 0.723
0.277 0.277 0.767
0.277 0.767 0.277
0.723 0.233 0.723
0.723 0.723 0.233
0.767 0.277 0.277
```

=====

Number 1: VASP energy -12.48 eV/atom. Number 2: VASP energy -10.21 eV/atom. Number 3: VASP energy -11.93 eV/atom. Number 4: VASP energy -12.91 eV/atom. Number 5: VASP energy -11.00 eV/atom. Number 6: VASP energy -9.23 eV/atom.